Entry from Alexandria: crystalline BaNaCaGa at its relaxed geometry (GGA-PBE).

```
BaNaCaGa
1.0
5.7659 0.0000 0.0000
2.8829 4.9934 0.0000
2.8829 1.6645 4.7078
Na Ca Ba Ga
1 1 1 1
Direct
0.7500 0.7500 0.7500
0.5000 0.5000 0.5000
0.0000 0.0000 0.0000
0.2500 0.2500 0.2500
```

Values from the calculation:
The density of states at the Fermi level is 4.10 states/eV/f.u. The calculated volume is 33.9 Å³ per atom. As for the calculated total energy: -2.215 eV per atom. Its formation energy is -0.1478 eV/atom. The calculation puts the theoretical density at 3.3 g/cm³.